Ti4Mo3Rh: optimized geometry, PBE.

- Fermi-level density of states (states/eV/f.u.) = 12.02
- volume (Å³/f.u.) = 124.7
- calculated formation energy (eV/f.u.) = -2.35
- calculated total energy (eV per atom) = -9.222

Lattice parameters (Å, degrees): 3.1323 4.4794 8.8859 90.00 90.00 90.00
Closest atoms and distances in Å follow each position.
Space group Pmmm (No. 47)
Symmetry-distinct sites (fractional):
Ti 0.0000 0.0000 0.0000  4 Mo 2.71, 4 Rh 2.73
Ti 0.0000 0.0000 0.5000  8 Mo 2.72-2.73
Ti 0.0000 0.5000 0.2472  2 Rh 2.70, 6 Mo 2.73-2.74
Mo 0.5000 0.0000 0.2495  8 Ti 2.71-2.73
Mo 0.5000 0.5000 0.5000  8 Ti 2.73-2.74
Rh 0.5000 0.5000 0.0000  8 Ti 2.70-2.73